No. 1
TlCrP2O (meta-GGA SCAN, single point on PBEsol structure); SG = P4/mmm (123); formation energy from raw total energies = -0.215 eV/atom
1.0
4.7229 0.0000 0.0000
0.0000 4.7229 0.0000
0.0000 0.0000 3.5129
Tl Cr P O
1 1 2 1
direct
0.0000 0.0000 0.0000 Tl
0.5000 0.5000 0.5000 Cr
0.0000 0.5000 0.5000 P
0.5000 0.0000 0.5000 P
0.5000 0.5000 0.0000 O

No. 2
SrLi3 (meta-GGA SCAN, single point on PBEsol structure); SG = Pnma (62); energy of formation = 31 meV per atom
1.0
8.8011 0.0000 0.0000
0.0000 7.9975 0.0000
0.0000 0.0000 6.5187
Sr Li
4 12
direct
0.0318 0.2500 0.1253 Sr
0.4682 0.7500 0.6253 Sr
0.5318 0.2500 0.3747 Sr
0.9682 0.7500 0.8747 Sr
0.1196 0.7500 0.3549 Li
0.1702 0.0596 0.5911 Li
0.1702 0.4404 0.5911 Li
0.3298 0.5596 0.0911 Li
0.3298 0.9404 0.0911 Li
0.3804 0.2500 0.8549 Li
0.6196 0.7500 0.1451 Li
0.6702 0.0596 0.9089 Li
0.6702 0.4404 0.9089 Li
0.8298 0.5596 0.4089 Li
0.8298 0.9404 0.4089 Li
0.8804 0.2500 0.6451 Li

no.,final energy (eV per atom)
1,-23.769
2,-7.330